[1]
{
  "formula": "CaNpMnO6",
  "functional": "PBE with a Hubbard U",
  "state": "relaxed",
  "density_g_cm3": 6.0,
  "final_energy_ev_per_atom": -8.0473,
  "dos_ef_per_ev_atom": 0.27,
  "spacegroup": "No. 163",
  "lattice_angstrom": [[5.623, 0.000, 0.000], [-2.812, 4.870, 0.000], [0.000, 0.000, 8.721]],
  "species": ["Ca", "Ca", "Np", "Np", "Mn", "Mn", "O", "O", "O", "O", "O", "O", "O", "O", "O", "O", "O", "O"],
  "frac_coords": [[0.333, 0.667, 0.250], [0.667, 0.333, 0.750], [0.333, 0.667, 0.750], [0.667, 0.333, 0.250], [0.000, 0.000, 0.000], [0.000, 0.000, 0.500], [0.044, 0.352, 0.625], [0.044, 0.692, 0.875], [0.308, 0.352, 0.875], [0.308, 0.956, 0.625], [0.352, 0.044, 0.125], [0.352, 0.308, 0.375], [0.648, 0.692, 0.625], [0.648, 0.956, 0.875], [0.692, 0.044, 0.375], [0.692, 0.648, 0.125], [0.956, 0.308, 0.125], [0.956, 0.648, 0.375]]
}

***

[2]
{
  "formula": "Ca2NpMnO6",
  "functional": "PBE with a Hubbard U",
  "state": "relaxed",
  "density_g_cm3": 5.6,
  "final_energy_ev_per_atom": -8.1456,
  "spacegroup": "No. 148",
  "lattice_angstrom": [[2.890, 1.669, 4.755], [-2.890, 1.669, 4.755], [0.000, -3.337, 4.755]],
  "species": ["Ca", "Ca", "Np", "Mn", "O", "O", "O", "O", "O", "O"],
  "frac_coords": [[0.226, 0.226, 0.226], [0.774, 0.774, 0.774], [0.500, 0.500, 0.500], [0.000, 0.000, 0.000], [0.156, 0.758, 0.355], [0.242, 0.645, 0.844], [0.355, 0.156, 0.758], [0.645, 0.844, 0.242], [0.758, 0.355, 0.156], [0.844, 0.242, 0.645]]
}

***

[3]
{
  "formula": "Ca2MnO4",
  "functional": "PBE with a Hubbard U",
  "state": "relaxed",
  "density_g_cm3": 3.9,
  "final_energy_ev_per_atom": -6.7933,
  "e_above_lowest_polymorph_ev_per_atom": 0.023,
  "dos_ef_per_ev_atom": 0.28,
  "spacegroup": "No. 139",
  "lattice_angstrom": [[-1.884, 1.884, 5.934], [1.884, -1.884, 5.934], [1.884, 1.884, -5.934]],
  "species": ["Ca", "Ca", "Mn", "O", "O", "O", "O"],
  "frac_coords": [[0.145, 0.145, 0.000], [0.855, 0.855, 0.000], [0.500, 0.500, 0.000], [0.000, 0.500, 0.500], [0.336, 0.336, 0.000], [0.500, 0.000, 0.500], [0.664, 0.664, 0.000]]
}

***

[4]
{
  "formula": "Ca5MnO6",
  "functional": "PBE with a Hubbard U",
  "state": "relaxed",
  "density_g_cm3": 3.6,
  "final_energy_ev_per_atom": -6.6607,
  "dos_ef_per_ev_atom": 0.00,
  "spacegroup": "No. 12",
  "lattice_angstrom": [[8.760, -1.691, 0.000], [8.760, 1.691, 0.000], [-1.936, 0.000, 5.536]],
  "species": ["Ca", "Ca", "Ca", "Ca", "Ca", "Mn", "O", "O", "O", "O", "O", "O"],
  "frac_coords": [[0.000, 0.000, 0.000], [0.165, 0.165, 0.831], [0.335, 0.335, 0.666], [0.665, 0.665, 0.334], [0.835, 0.835, 0.169], [0.500, 0.500, 0.500], [0.079, 0.079, 0.420], [0.249, 0.249, 0.252], [0.417, 0.417, 0.086], [0.583, 0.583, 0.914], [0.751, 0.751, 0.748], [0.921, 0.921, 0.580]]
}

***

[5]
{
  "formula": "Ca2MnO4",
  "functional": "PBE with a Hubbard U",
  "state": "relaxed",
  "density_g_cm3": 3.9,
  "final_energy_ev_per_atom": -6.8149,
  "e_above_lowest_polymorph_ev_per_atom": 0.002,
  "spacegroup": "No. 142",
  "lattice_angstrom": [[-2.626, 2.626, 12.229], [2.626, -2.626, 12.229], [2.626, 2.626, -12.229]],
  "species": ["Ca", "Ca", "Ca", "Ca", "Ca", "Ca", "Ca", "Ca", "Mn", "Mn", "Mn", "Mn", "O", "O", "O", "O", "O", "O", "O", "O", "O", "O", "O", "O", "O", "O", "O", "O"],
  "frac_coords": [[0.050, 0.300, 0.750], [0.200, 0.450, 0.750], [0.300, 0.050, 0.250], [0.450, 0.200, 0.250], [0.550, 0.800, 0.750], [0.700, 0.950, 0.750], [0.800, 0.550, 0.250], [0.950, 0.700, 0.250], [0.125, 0.875, 0.250], [0.375, 0.625, 0.750], [0.625, 0.375, 0.250], [0.875, 0.125, 0.750], [0.044, 0.794, 0.250], [0.071, 0.821, 0.642], [0.179, 0.321, 0.250], [0.206, 0.956, 0.250], [0.294, 0.544, 0.750], [0.321, 0.571, 0.142], [0.429, 0.071, 0.750], [0.456, 0.706, 0.750], [0.544, 0.294, 0.250], [0.571, 0.929, 0.250], [0.679, 0.429, 0.858], [0.706, 0.456, 0.250], [0.794, 0.044, 0.750], [0.821, 0.679, 0.750], [0.929, 0.179, 0.358], [0.956, 0.206, 0.750]]
}

***

[6]
{
  "formula": "CaMn4O9",
  "functional": "PBE with a Hubbard U",
  "state": "relaxed",
  "density_g_cm3": 3.8,
  "final_energy_ev_per_atom": -6.7582,
  "dos_ef_per_ev_atom": 0.40,
  "spacegroup": "No. 85",
  "lattice_angstrom": [[8.564, 0.000, 0.000], [0.000, 8.564, 0.000], [0.000, 0.000, 4.856]],
  "species": ["Ca", "Ca", "Mn", "Mn", "Mn", "Mn", "Mn", "Mn", "Mn", "Mn", "O", "O", "O", "O", "O", "O", "O", "O", "O", "O", "O", "O", "O", "O", "O", "O", "O", "O"],
  "frac_coords": [[0.250, 0.250, 0.138], [0.750, 0.750, 0.862], [0.036, 0.658, 0.387], [0.158, 0.964, 0.613], [0.342, 0.536, 0.613], [0.464, 0.842, 0.387], [0.536, 0.158, 0.613], [0.658, 0.464, 0.387], [0.842, 0.036, 0.387], [0.964, 0.342, 0.613], [0.008, 0.327, 0.957], [0.041, 0.144, 0.480], [0.144, 0.459, 0.480], [0.173, 0.008, 0.957], [0.250, 0.750, 0.500], [0.327, 0.492, 0.957], [0.356, 0.041, 0.480], [0.459, 0.356, 0.480], [0.492, 0.173, 0.957], [0.508, 0.827, 0.043], [0.541, 0.644, 0.520], [0.644, 0.959, 0.520], [0.673, 0.508, 0.043], [0.750, 0.250, 0.500], [0.827, 0.992, 0.043], [0.856, 0.541, 0.520], [0.959, 0.856, 0.520], [0.992, 0.673, 0.043]]
}